Sc6SnAs2Se3 | GGA-PBE | relaxed

## Properties
As for the density of states at the Fermi level: 5.49 states/eV per cell. The symmetry is C2/m.

The structure in POSCAR format:
```
Sc6SnAs2Se3
1.0
3.9041 0.0000 0.0000
0.0000 7.9111 0.2744
-1.9520 -2.2892 8.2669
Sc Sn As Se
6 1 2 3
direct
0.3292 0.9037 0.6584
0.6717 0.5763 0.3435
0.6708 0.0963 0.3416
0.0031 0.2615 0.0063
0.9969 0.7385 0.9937
0.3283 0.4237 0.6565
0.5000 0.0000 0.0000
0.8331 0.6654 0.6663
0.1669 0.3346 0.3337
0.5000 0.5000 0.0000
0.8344 0.1682 0.6688
0.1656 0.8318 0.3312
```

SrScAs2Se | GGA-PBE | relaxed

## Properties
As for the density of states at the Fermi level: 3.22 states/eV per cell. The symmetry is P4/mmm.

The structure in POSCAR format:
```
SrScAs2Se
1.0
-0.4594 3.1998 3.9822
3.8311 -2.4290 2.3937
3.4546 3.2601 -2.2210
Sc Sr As Se
1 1 2 1
direct
0.0000 0.0000 0.0000
0.5000 0.5000 0.5000
0.0000 0.5000 0.0000
0.5000 0.0000 0.0000
0.0000 0.0000 0.5000
```

SrScAs2Se | GGA-PBE | relaxed

## Properties
As for the density of states at the Fermi level: 5.13 states/eV per cell. The symmetry is P4/mmm.

The structure in POSCAR format:
```
SrScAs2Se
1.0
-2.3444 0.8792 -4.8072
1.7151 -4.8445 -1.7225
-4.6604 -2.3079 1.8506
Sc Sr As Se
1 1 2 1
direct
0.5000 0.5000 0.5000
0.0000 0.0000 0.0000
0.0000 0.5000 0.0000
0.5000 0.0000 0.0000
0.0000 0.0000 0.5000
```

TbScAsSe | GGA-PBE | relaxed

## Properties
As for the density of states at the Fermi level: 2.86 states/eV per cell. The symmetry is R3m.

The structure in POSCAR format:
```
TbScAsSe
1.0
3.9304 -0.0006 0.0000
-1.9649 3.4043 0.0001
-1.9642 -1.1337 6.8638
Tb Sc As Se
1 1 1 1
direct
0.4812 0.1386 0.6350
0.1219 0.9589 0.0961
0.3170 0.5564 0.8886
0.9578 0.3769 0.3499
```

ScTcAs2Se | GGA-PBE | relaxed

## Properties
As for the density of states at the Fermi level: 4.07 states/eV per cell. The symmetry is P4/mmm.

The structure in POSCAR format:
```
ScTcAs2Se
1.0
-0.3637 -4.5289 -2.2740
4.9891 -0.7199 0.6359
-0.8801 -2.1656 4.4537
Sc As Tc Se
1 2 1 1
direct
0.0000 0.0000 0.0000
0.0000 0.5000 0.0000
0.5000 0.0000 0.0000
0.5000 0.5000 0.5000
0.0000 0.0000 0.5000
```

ScTcAs2Se | GGA-PBE | relaxed

## Properties
As for the density of states at the Fermi level: 4.09 states/eV per cell. The symmetry is P4/mmm.

The structure in POSCAR format:
```
ScTcAs2Se
1.0
4.6489 0.0000 0.0000
0.0000 4.6489 0.0000
0.0000 0.0000 5.4302
Sc As Tc Se
1 2 1 1
direct
0.5000 0.5000 0.5000
0.0000 0.5000 0.0000
0.5000 0.0000 0.0000
0.0000 0.0000 0.0000
0.0000 0.0000 0.5000
```

Sc8Te3As3Se | GGA-PBE | relaxed

## Properties
As for the density of states at the Fermi level: 7.68 states/eV per cell. The symmetry is C2/m.

The structure in POSCAR format:
```
Sc8Te3As3Se
1.0
7.8772 0.0000 0.0000
-3.9386 6.8233 -0.0239
0.0000 -4.5252 6.6362
Sc Te As Se
8 3 3 1
direct
0.2636 0.5272 0.2894
0.7364 0.4728 0.7106
0.7558 0.5116 0.2788
0.2442 0.4884 0.7212
0.7561 0.0226 0.2788
0.2439 0.9774 0.7212
0.2666 0.0226 0.2788
0.7334 0.9774 0.7212
0.0000 0.0000 0.0000
0.0000 0.5000 0.0000
0.5000 0.5000 0.0000
0.5000 0.0000 0.5000
0.5000 0.5000 0.5000
0.0000 0.5000 0.5000
0.0000 0.0000 0.5000
```

Sc3TeAsSe | GGA-PBE | relaxed

## Properties
As for the density of states at the Fermi level: 9.72 states/eV per cell. The symmetry is C2/c.

The structure in POSCAR format:
```
Sc3TeAsSe
1.0
-6.1236 1.9425 1.3811
-1.1408 -1.6278 6.3015
1.8341 5.3282 5.1727
Sc Te As Se
6 2 2 2
direct
0.4981 0.8296 0.8576
0.0019 0.3129 0.8576
0.7500 0.2491 0.5019
0.5019 0.1704 0.1424
0.9981 0.6871 0.1424
0.2500 0.7509 0.4981
0.2500 0.2512 0.4976
0.7500 0.7488 0.5024
0.7500 0.0625 0.8750
0.2500 0.9375 0.1250
0.2500 0.5602 0.8796
0.7500 0.4398 0.1204
```

Here are the calculated formation energy from raw total energies numbers, same order: -1.372 -0.794 0.473 -1.567 0.695 0.115 -1.215 -1.198 (eV/atom).